[1]
Compound: Ho3Al2Tl2
Source: the Alexandria database
Functional: PBE
Structure: relaxed

## Properties
DFT formation energy = -0.38 eV per atom
Magnetic moment = 0.14 μB per formula unit

Cell lengths 4.3954, 3.5488, 11.1773 Å; angles 90.00, 78.66, 90.00 degrees
Closest atoms and distances in Å follow each position.
Fractional coordinates of all 7 atoms:
Ho 0.8359 0.0000 0.3283  6 Al 3.06-3.13, 4 Tl 3.37
Ho 0.0000 0.0000 0.0000  8 Tl 3.32, 4 Ho 3.55-3.60
Ho 0.1641 0.0000 0.6717  6 Al 3.06-3.13, 4 Tl 3.37
Al 0.7181 0.5000 0.5638  2 Al 2.61
Al 0.2819 0.5000 0.4362  2 Al 2.61
Tl 0.5799 0.5000 0.8402  1 Al 3.03, 8 Ho 3.32-3.37
Tl 0.4201 0.5000 0.1598  1 Al 3.03, 8 Ho 3.32-3.37

***

[2]
Compound: Mg2GeBi
Source: the Alexandria database
Functional: PBE
Structure: relaxed

## Properties
DFT formation energy = -0.12 eV per atom
Energy above the most stable polymorph in this dataset = 0.000 eV per atom
Magnetic moment = 0.00 μB per formula unit

Cell lengths 4.4445, 4.4445, 6.4156 Å; angles 69.73, 69.73, 60.00 degrees
Closest atoms and distances in Å follow each position.
Fractional coordinates of all 4 atoms:
Mg 0.0655 0.0655 0.8036  3 Ge 2.83, 3 Bi 3.14
Mg 0.2691 0.2691 0.1926  3 Ge 2.79
Ge 0.6644 0.6644 0.0068  6 Mg 2.79-2.83, 1 Bi 2.88
Bi 0.5010 0.5010 0.4970  1 Ge 2.88, 6 Mg 3.13-3.14

***

[3]
Compound: AlAs
Source: the Alexandria database
Functional: PBE
Structure: relaxed

## Properties
DFT formation energy = -0.33 eV per atom
Magnetic moment = 0.00 μB per formula unit

Cell lengths 7.7232, 7.7232, 7.7232 Å; angles 30.34, 30.34, 30.34 degrees
Closest atoms and distances in Å follow each position.
Fractional coordinates of all 4 atoms:
As 0.2460 0.2460 0.2460  4 Al 2.48-2.66
As 0.7540 0.7540 0.7540  4 Al 2.48-2.66
Al 0.1258 0.1258 0.1258  4 As 2.48-2.66
Al 0.8742 0.8742 0.8742  4 As 2.48-2.66

***

[4]
Compound: K3W
Source: the Alexandria database
Functional: PBE
Structure: relaxed

## Properties
DFT formation energy = 1.52 eV per atom
Energy above the most stable polymorph in this dataset = 0.624 eV per atom
Magnetic moment = 4.65 μB per formula unit

Cell lengths 6.9477, 6.9476, 7.1898 Å; angles 80.47, 80.47, 31.68 degrees
Closest atoms and distances in Å follow each position.
Fractional coordinates of all 4 atoms:
K 0.5000 0.5000 0.5000  4 K 3.79-3.93, 4 W 4.06
K 0.7269 0.7269 0.7822  2 W 3.69, 5 K 3.79-3.93
K 0.2731 0.2731 0.2178  2 W 3.69, 5 K 3.79-3.93
W 0.0000 0.0000 0.0000  8 K 3.69-4.06, 2 W 3.79

***

[5]
Compound: Ca2MgMn
Source: the Alexandria database
Functional: PBE
Structure: relaxed

## Properties
DFT formation energy = 0.22 eV per atom
Magnetic moment = 3.98 μB per formula unit

Cell lengths 3.6358, 3.6367, 8.6510 Å; angles 90.00, 90.00, 90.00 degrees
Closest atoms and distances in Å follow each position.
Fractional coordinates of all 4 atoms:
Ca 0.0000 0.0000 0.9418  4 Mn 3.29, 1 Mg 3.32, 4 Ca 3.64
Ca 0.5000 0.5000 0.2950  4 Mg 3.43, 1 Mn 3.55, 4 Ca 3.64
Mg 0.0000 0.0000 0.5578  4 Mn 2.87
Mn 0.5000 0.5000 0.7054  4 Mg 2.87

***

[6]
Compound: TlCdFe2B
Source: the Alexandria database
Functional: PBE
Structure: relaxed

## Properties
DFT formation energy = 0.49 eV per atom
Magnetic moment = 4.29 μB per formula unit

Cell lengths 4.1168, 4.5483, 4.1168 Å; angles 90.00, 90.00, 90.00 degrees
Closest atoms and distances in Å follow each position.
Fractional coordinates of all 5 atoms:
Tl 0.5000 0.5000 0.5000  4 Cd 2.91, 8 Fe 3.07
B 0.0000 0.0000 0.0000  4 Fe 2.06, 2 Cd 2.27
Fe 0.0000 0.0000 0.5000  2 B 2.06
Fe 0.5000 0.0000 0.0000  2 B 2.06
Cd 0.0000 0.5000 0.0000  2 B 2.27

***

[7]
Compound: Tm5Cd2Ir2Ru
Source: the Alexandria database
Functional: PBE
Structure: relaxed

## Properties
DFT formation energy = -0.51 eV per atom
Magnetic moment = 0.00 μB per formula unit

Cell lengths 3.5466, 11.4248, 11.4248 Å; angles 90.00, 90.00, 90.00 degrees
Closest atoms and distances in Å follow each position.
Fractional coordinates of all 20 atoms:
Tm 0.5000 0.1948 0.0678  2 Ir 2.75, 2 Ru 2.95
Tm 0.5000 0.8052 0.9322  2 Ir 2.75, 2 Ru 2.95
Tm 0.5000 0.0678 0.8052  2 Ir 2.75, 2 Ru 2.95
Tm 0.5000 0.6948 0.4322  2 Ir 2.75, 2 Ru 2.95
Tm 0.5000 0.9322 0.1948  2 Ir 2.75, 2 Ru 2.95
Tm 0.5000 0.3052 0.5678  2 Ir 2.75, 2 Ru 2.95
Tm 0.5000 0.5678 0.6948  2 Ir 2.75, 2 Ru 2.95
Tm 0.5000 0.4322 0.3052  2 Ir 2.75, 2 Ru 2.95
Tm 0.5000 0.5000 0.0000  4 Ir 2.78
Tm 0.5000 0.0000 0.5000  4 Ir 2.78
Cd 0.0000 0.6777 0.1777  1 Ir 3.07, 6 Tm 3.37-3.41
Cd 0.0000 0.3223 0.8223  1 Ir 3.07, 6 Tm 3.37-3.41
Cd 0.0000 0.1777 0.3223  1 Ir 3.07, 6 Tm 3.37-3.41
Cd 0.0000 0.8223 0.6777  1 Ir 3.07, 6 Tm 3.37-3.41
Ir 0.0000 0.1322 0.6322  6 Tm 2.75-2.78, 1 Cd 3.07
Ir 0.0000 0.8678 0.3678  6 Tm 2.75-2.78, 1 Cd 3.07
Ir 0.0000 0.6322 0.8678  6 Tm 2.75-2.78, 1 Cd 3.07
Ir 0.0000 0.3678 0.1322  6 Tm 2.75-2.78, 1 Cd 3.07
Ru 0.0000 0.0000 0.0000  8 Tm 2.95
Ru 0.0000 0.5000 0.5000  8 Tm 2.95

***

[8]
Compound: Li4MoRu
Source: the Alexandria database
Functional: PBE
Structure: relaxed

## Properties
DFT formation energy = 0.39 eV per atom
Magnetic moment = 0.00 μB per formula unit

Cell lengths 4.7287, 4.7287, 4.7287 Å; angles 60.00, 60.00, 60.00 degrees
Closest atoms and distances in Å follow each position.
Fractional coordinates of all 6 atoms:
Li 0.8793 0.3736 0.3736  6 Li 2.34-2.39
Li 0.3736 0.3736 0.8793  6 Li 2.34-2.39
Li 0.3736 0.8793 0.3736  6 Li 2.34-2.39
Li 0.3736 0.3736 0.3736  6 Li 2.34-2.39
Mo 0.7500 0.7500 0.7500  12 Li 2.78, 4 Ru 2.90
Ru 0.0000 0.0000 0.0000  12 Li 2.77, 4 Mo 2.90

***

[9]
Compound: HgTeRu2
Source: the Alexandria database
Functional: PBE
Structure: relaxed

## Properties
Energy above the most stable polymorph in this dataset = 0.396 eV per atom
Magnetic moment = 1.44 μB per formula unit
Formation energy from raw total energies = 0.77 eV per atom

Cell lengths 4.6970, 4.6970, 4.6970 Å; angles 60.00, 60.00, 60.00 degrees
Closest atoms and distances in Å follow each position.
Fractional coordinates of all 4 atoms:
Hg 0.5000 0.5000 0.5000  4 Ru 2.88, 4 Te 2.88
Ru 0.0000 0.0000 0.0000  4 Ru 2.88, 4 Te 2.88
Ru 0.2500 0.2500 0.2500  4 Hg 2.88, 4 Ru 2.88
Te 0.7500 0.7500 0.7500  4 Hg 2.88, 4 Ru 2.88

***

[10]
Compound: CsNaHoCl5
Source: the Alexandria database
Functional: PBE
Structure: relaxed

## Properties
Magnetic moment = 0.00 μB per formula unit
Formation energy from raw total energies = -2.12 eV per atom

Cell lengths 7.9267, 7.9267, 10.2738 Å; angles 101.76, 101.76, 109.69 degrees
Closest atoms and distances in Å follow each position.
Fractional coordinates of all 16 atoms:
Cs 0.3349 0.6651 0.2500  7 Cl 3.54-3.72
Cs 0.6651 0.3349 0.7500  7 Cl 3.54-3.72
Na 0.6864 0.3136 0.2500  4 Cl 2.70-2.72
Na 0.3136 0.6864 0.7500  4 Cl 2.70-2.72
Ho 0.0000 0.0000 0.5000  6 Cl 2.63-2.67
Ho 0.0000 0.0000 0.0000  6 Cl 2.63-2.67
Cl 0.0572 0.9428 0.2500  2 Ho 2.67
Cl 0.9428 0.0572 0.7500  2 Ho 2.67
Cl 0.9004 0.2797 0.0813  1 Ho 2.63, 1 Na 2.70
Cl 0.0996 0.7203 0.9187  1 Ho 2.63, 1 Na 2.70
Cl 0.7203 0.0996 0.4187  1 Ho 2.63, 1 Na 2.70
Cl 0.2797 0.9004 0.5813  1 Ho 2.63, 1 Na 2.70
Cl 0.7611 0.6501 0.4309  1 Ho 2.63, 1 Na 2.72
Cl 0.2389 0.3499 0.5691  1 Ho 2.63, 1 Na 2.72
Cl 0.3499 0.2389 0.0691  1 Ho 2.63, 1 Na 2.72
Cl 0.6501 0.7611 0.9309  1 Ho 2.63, 1 Na 2.72

***

[11]
Compound: SrP2Ru
Source: the Alexandria database
Functional: PBE
Structure: relaxed

## Properties
DFT formation energy = -0.44 eV per atom
Energy above the most stable polymorph in this dataset = 0.246 eV per atom
Magnetic moment = 0.00 μB per formula unit

Cell lengths 5.0169, 5.0169, 5.0169 Å; angles 131.98, 106.04, 93.14 degrees
Closest atoms and distances in Å follow each position.
Fractional coordinates of all 4 atoms:
P 0.0855 0.0855 0.0000  1 P 2.27, 2 Ru 2.34
P 0.4145 0.4145 0.0000  1 P 2.27, 2 Ru 2.34
Ru 0.2500 0.7500 0.5000  4 P 2.34
Sr 0.7500 0.2500 0.5000  8 P 3.09-3.22, 2 Ru 3.45

***

[12]
Compound: Ac4Pm6Tm
Source: the Alexandria database
Functional: PBE
Structure: relaxed

## Properties
DFT formation energy = 0.25 eV per atom
Magnetic moment = 0.00 μB per formula unit

Cell lengths 9.7781, 9.7781, 9.7781 Å; angles 62.22, 137.14, 137.14 degrees
Closest atoms and distances in Å follow each position.
Fractional coordinates of all 11 atoms:
Ac 0.0000 0.6259 0.0150  1 Tm 3.59, 5 Pm 3.67-3.97, 1 Ac 3.93
Ac 0.3892 0.3741 0.3741  1 Tm 3.59, 5 Pm 3.67-3.97, 1 Ac 3.93
Ac 0.0000 0.0150 0.6259  1 Tm 3.59, 5 Pm 3.67-3.97, 1 Ac 3.93
Ac 0.6108 0.9850 0.9850  1 Tm 3.59, 5 Pm 3.67-3.97, 1 Ac 3.93
Pm 0.0000 0.7716 0.4317  3 Pm 3.15-3.43
Pm 0.0000 0.4317 0.7716  3 Pm 3.15-3.43
Pm 0.3399 0.5683 0.5683  3 Pm 3.15-3.43
Pm 0.5000 0.5000 0.0000  4 Pm 3.15
Pm 0.6601 0.2284 0.2284  3 Pm 3.15-3.43
Pm 0.5000 0.0000 0.5000  4 Pm 3.15
Tm 0.0000 0.0000 0.0000  8 Pm 3.57-3.74, 4 Ac 3.59